Entry 1:
20
Lattice="-4.786 -3.433 -0.410 5.949 -8.434 1.194 -4.026 4.610 8.396" Properties=species:S:1:pos:R:3 comment="Tb3NdSc6 GGA-PBE optimized geometry" magnetic_moment_mub_per_fu=0.00 delta_e_f_ev_per_atom=0.158 density_g_cm3=5.3 pbc="T T T"
Tb 0.367 -6.102 6.925
Tb -4.097 -5.110 8.216
Tb -0.341 -0.864 5.474
Tb -0.776 -5.141 3.856
Tb -5.328 -2.661 2.076
Tb -0.864 -3.654 0.785
Nd -2.757 1.160 6.766
Nd 0.519 -7.970 2.468
Sc 1.817 -3.329 6.069
Sc -1.683 -3.599 6.664
Sc -2.411 -1.338 8.802
Sc -0.461 -8.734 5.461
Sc 3.379 -9.254 1.382
Sc -4.041 -1.481 5.970
Sc 2.322 -4.957 3.308
Sc -7.977 0.751 7.650
Sc -3.448 0.725 3.629
Sc -1.498 -6.671 0.289
Sc 1.144 -1.992 2.716
Sc -2.355 -2.261 3.310

***

Entry 2:
20
Lattice="-6.522 -0.594 -2.147 -6.192 -4.132 8.890 -4.231 10.731 -1.175" Properties=species:S:1:pos:R:3 comment="Ac3La2Pr5 GGA-PBE optimized geometry" magnetic_moment_mub_per_fu=0.00 polymorph_energy_mev_per_atom=68 delta_e_f_ev_per_atom=0.243 density_g_cm3=6.9 pbc="T T T"
Ac -8.485 6.206 1.937
Ac -12.421 0.794 4.328
Ac -8.460 -0.200 3.631
Ac -4.524 5.211 1.240
Ac -1.631 -0.148 -0.537
Ac -4.892 -0.445 -1.610
La -5.472 -2.345 6.210
La -7.434 7.212 -1.536
La -11.473 8.350 -0.642
La -9.511 -1.207 7.104
Pr -4.561 -0.879 3.038
Pr -7.190 3.618 -1.281
Pr -12.384 6.884 2.530
Pr -9.755 2.387 6.849
Pr -11.052 4.604 4.646
Pr -5.893 1.402 0.922
Pr -10.103 2.854 2.247
Pr -6.842 3.151 3.321
Pr -9.154 1.105 -0.151
Pr -7.791 4.901 5.719

***

Entry 3:
20
Lattice="-5.269 0.966 -4.230 -1.883 -9.031 0.284 -4.823 3.822 6.879" Properties=species:S:1:pos:R:3 comment="In3SnSe6 GGA-PBE optimized geometry" magnetic_moment_mub_per_fu=0.00 polymorph_energy_mev_per_atom=98 density_g_cm3=5.6 formation_energy_uncorrected_ev_per_atom=-0.317 pbc="T T T"
In -7.807 -4.751 3.147
In -10.911 -2.215 2.085
In -5.375 -1.296 2.640
In -7.562 -2.771 -0.480
In -6.788 0.988 -2.318
In -3.684 -1.549 -1.257
Sn -4.355 1.181 5.396
Sn -5.270 -5.856 -0.577
Se -5.204 -3.920 3.668
Se -8.133 -2.149 2.214
Se -6.191 -0.630 5.280
Se -7.610 -5.461 0.438
Se -5.747 3.366 5.682
Se -7.691 1.972 2.849
Se -3.251 -6.405 0.913
Se -5.740 -7.699 -2.358
Se -3.919 1.135 2.853
Se -5.338 -3.696 -1.989
Se -3.043 -2.241 1.360
Se -5.972 -0.470 -0.094

***

Entry 4:
4
Lattice="2.565 -0.006 0.000 -0.999 2.362 0.000 0.000 0.000 8.202" Properties=species:S:1:pos:R:3 comment="MnCo2Ru GGA-PBE optimized geometry" magnetic_moment_mub_per_fu=6.38 polymorph_energy_mev_per_atom=201 delta_e_f_ev_per_atom=0.257 density_g_cm3=9.2 pbc="T T T"
Co 0.000 0.000 0.098
Co 0.783 1.178 2.043
Mn 0.000 0.000 4.026
Ru 0.783 1.178 6.137

***

Entry 5:
16
Lattice="4.944 0.000 0.000 0.000 4.944 0.000 0.000 0.000 20.004" Properties=species:S:1:pos:R:3 comment="Pm12HfIn3 GGA-PBE optimized geometry" magnetic_moment_mub_per_fu=0.00 delta_e_f_ev_per_atom=-0.164 density_g_cm3=7.7 pbc="T T T"
Pm 2.472 2.472 0.000
Pm 2.472 2.472 5.005
Pm 2.472 2.472 10.002
Pm 2.472 2.472 14.999
Pm 2.472 0.000 2.463
Pm 2.472 0.000 7.497
Pm 2.472 0.000 12.507
Pm 2.472 0.000 17.542
Pm 0.000 2.472 2.463
Pm 0.000 2.472 7.497
Pm 0.000 2.472 12.507
Pm 0.000 2.472 17.542
Hf 0.000 0.000 0.000
In 0.000 0.000 5.055
In 0.000 0.000 10.002
In 0.000 0.000 14.949

***

Entry 6:
4
Lattice="-1.643 -2.196 0.448 1.863 -1.026 1.788 -3.785 4.120 6.308" Properties=species:S:1:pos:R:3 comment="ZrRe2Ru GGA-PBE optimized geometry" magnetic_moment_mub_per_fu=0.00 polymorph_energy_mev_per_atom=111 delta_e_f_ev_per_atom=0.082 density_g_cm3=14.4 pbc="T T T"
Re -0.111 0.121 0.186
Re -1.781 1.939 2.968
Ru -0.836 -0.581 2.695
Zr -2.729 1.479 5.849

***

Entry 7:
4
Lattice="3.742 0.000 0.000 0.000 2.549 -0.001 0.000 1.282 4.752" Properties=species:S:1:pos:R:3 comment="CrSiNi2 GGA-PBE optimized geometry" magnetic_moment_mub_per_fu=0.41 density_g_cm3=7.2 formation_energy_uncorrected_ev_per_atom=-0.204 pbc="T T T"
Cr 1.871 2.712 3.511
Ni 0.000 0.160 0.052
Ni 1.871 1.434 1.153
Si 0.000 1.440 2.409

***

Entry 8:
4
Lattice="6.479 0.057 0.124 2.882 5.804 -0.124 -3.923 -4.139 3.078" Properties=species:S:1:pos:R:3 comment="MgInPb2 GGA-PBE optimized geometry" magnetic_moment_mub_per_fu=0.00 delta_e_f_ev_per_atom=0.022 density_g_cm3=8.1 pbc="T T T"
Pb 0.103 0.064 0.000
Pb 4.577 2.866 0.000
Mg 1.819 2.297 1.477
In 3.618 -0.576 1.601

***

Entry 9:
5
Lattice="-4.669 0.170 2.000 1.761 -2.084 4.288 0.963 4.633 1.855" Properties=species:S:1:pos:R:3 comment="ScGa3Pd GGA-PBE optimized geometry" magnetic_moment_mub_per_fu=0.22 polymorph_energy_mev_per_atom=1320 delta_e_f_ev_per_atom=0.770 density_g_cm3=4.6 pbc="T T T"
Sc 0.000 0.000 0.000
Ga 0.881 -1.042 2.144
Ga 0.482 2.316 0.928
Ga -2.335 0.085 1.000
Pd -0.972 1.359 4.072

***

Entry 10:
4
Lattice="-0.337 4.215 1.119 -2.425 2.718 -2.420 -3.776 1.550 1.572" Properties=species:S:1:pos:R:3 comment="Ta2MnNi GGA-PBE optimized geometry" magnetic_moment_mub_per_fu=1.02 polymorph_energy_mev_per_atom=239 delta_e_f_ev_per_atom=0.098 density_g_cm3=13.3 pbc="T T T"
Mn -3.269 4.241 0.136
Ni -4.903 6.362 0.203
Ta 0.000 0.000 0.000
Ta -1.634 2.121 0.068

***

Entry 11:
16
Lattice="8.000 0.000 0.000 0.000 8.091 0.061 -4.000 -3.994 5.659" Properties=species:S:1:pos:R:3 comment="Sc8Te4AsSe3 GGA-PBE optimized geometry" magnetic_moment_mub_per_fu=0.00 density_g_cm3=5.3 formation_energy_uncorrected_ev_per_atom=-1.363 pbc="T T T"
Sc -2.035 1.852 5.575
Sc 0.000 3.882 2.696
Sc 0.000 0.234 2.990
Sc 2.035 1.852 5.575
Sc 1.965 2.245 0.145
Sc 4.000 3.863 2.730
Sc 4.000 0.215 3.024
Sc 6.035 2.245 0.145
Te 4.000 0.000 0.000
Te 2.000 -1.997 2.829
Te 0.000 0.000 0.000
Te -2.000 -1.997 2.829
As 0.000 4.045 0.031
Se 4.000 4.045 0.031
Se 2.000 2.048 2.860
Se -2.000 2.048 2.860

***

Entry 12:
12
Lattice="5.886 0.244 0.000 -2.392 5.384 0.000 -1.747 -2.814 4.872" Properties=species:S:1:pos:R:3 comment="ErPuGa2O8 GGA-PBE optimized geometry" magnetic_moment_mub_per_fu=1.00 density_g_cm3=7.2 formation_energy_uncorrected_ev_per_atom=-2.155 pbc="T T T"
Er 0.000 0.000 0.000
Pu -1.196 2.692 2.436
Ga 2.943 0.122 2.436
Ga 1.747 2.814 0.000
O 1.480 -0.559 1.552
O 0.264 2.245 0.959
O 0.147 -1.582 3.913
O 2.982 -1.491 3.320
O 3.230 3.384 0.959
O 4.406 0.803 1.552
O 2.905 1.735 3.320
O -0.147 1.582 3.913